Here is LuBeAg after structural relaxation from OQMD. Energies are from PBE.

abc: 4.5574 4.5574 4.5574
angles: 60.00 60.00 60.00
Closest atoms and distances in Å follow each position.
Positions (direct):
Lu: 0.0000 0.0000 0.0000  4 Be 2.79, 4 Ag 2.79
Ag: 0.2500 0.2500 0.2500  4 Lu 2.79
Be: 0.7500 0.7500 0.7500  4 Lu 2.79

Summary:
Uncorrected energy: -9.1 eV per cell
Total magnetic moment: 0.002 μB per formula unit
Volume: 67 Å³/f.u.
SG: F-43m (216)



Here is YMgCu after structural relaxation from OQMD. Energies are from PBE.

abc: 4.7846 4.7846 4.7846
angles: 60.00 60.00 60.00
Closest atoms and distances in Å follow each position.
Positions (direct):
Y: 0.0000 0.0000 0.0000  4 Mg 2.93, 4 Cu 2.93
Cu: 0.2500 0.2500 0.2500  4 Y 2.93
Mg: 0.7500 0.7500 0.7500  4 Y 2.93

Summary:
Uncorrected energy: -10.1 eV per cell
Total magnetic moment: 0.001 μB per formula unit
Volume: 77 Å³/f.u.
SG: F-43m (216)



Here is AcNpW after structural relaxation from OQMD. Energies are from PBE.

abc: 4.9625 4.9625 4.9625
angles: 60.00 60.00 60.00
Closest atoms and distances in Å follow each position.
Positions (direct):
Np: 0.2500 0.2500 0.2500  4 W 3.04
Ac: 0.7500 0.7500 0.7500  4 W 3.04
W: 0.0000 0.0000 0.0000  4 Ac 3.04, 4 Np 3.04

Summary:
Uncorrected energy: -26.4 eV per cell
Total magnetic moment: 3.572 μB per formula unit
Formation energy from the elements: 327 kJ/mol of formula units
Volume: 86 Å³/f.u.
SG: F-43m (216)



Here is RbGdTeO after structural relaxation from OQMD. Energies are from PBE.

abc: 3.9211 3.9211 15.5356
angles: 90.00 90.00 120.00
Closest atoms and distances in Å follow each position.
Positions (direct):
Gd: 0.0000 0.0000 0.8025  3 O 2.47
Rb: 0.3333 0.6667 0.5000  6 Te 3.51, 6 Rb 3.92
Rb: 0.6667 0.3333 0.0000  6 O 3.07
Te: 0.6667 0.3333 0.3272  3 Gd 3.03
Gd: 0.0000 0.0000 0.1975  3 O 2.47
O: 0.3333 0.6667 0.8662  3 Gd 2.47
O: 0.3333 0.6667 0.1338  3 Gd 2.47
Te: 0.6667 0.3333 0.6728  3 Gd 3.03

Summary:
Uncorrected energy: -41.7 eV per cell
Total magnetic moment: 0.005 μB per formula unit
Volume: 103 Å³/f.u.
SG: P-6m2 (187)



Here is NiGeMoIr after structural relaxation from OQMD. Energies are from PBE.

abc: 4.3111 4.3111 4.3111
angles: 60.00 60.00 60.00
Closest atoms and distances in Å follow each position.
Positions (direct):
Ge: 0.0000 0.0000 0.0000  4 Ni 2.64, 4 Mo 2.64
Ni: 0.7500 0.7500 0.7500  4 Ge 2.64, 4 Ir 2.64
Mo: 0.2500 0.2500 0.2500  4 Ir 2.64, 4 Ge 2.64
Ir: 0.5000 0.5000 0.5000  4 Mo 2.64, 4 Ni 2.64

Summary:
Uncorrected energy: -29.9 eV per cell
Total magnetic moment: 0.001 μB per formula unit
Volume: 57 Å³/f.u.
SG: F-43m (216)